# 1
Material: ScZnIr2
Method: DFT, GGA-PBE
State: relaxed

Lattice parameters (Å, degrees): 5.1485 5.1485 5.1485 145.44 124.94 66.65
With the nearest neighbours (Å) after each atom.
Atoms (fractional coordinates):
Sc 0.0000 0.0000 0.0000  4 Ir 2.69, 4 Zn 2.83
Zn 0.5000 0.5000 0.0000  4 Ir 2.59, 4 Sc 2.83
Ir 0.2571 0.7571 0.5000  2 Zn 2.59, 2 Sc 2.69, 4 Ir 2.83
Ir 0.7429 0.2429 0.5000  2 Zn 2.59, 2 Sc 2.69, 4 Ir 2.83

Properties
Electronic total energy ... -26.9 eV/f.u.
Magnetic moment ... 0.00 μB/cell
Density of states at the Fermi level ... 3.02 states/eV/f.u.
Formation energy from the elements ... -391.7 meV/atom
Volume ... 15.656 Å³ per atom
Space-group type ... Immm, No. 71

# 2
Material: ScZnIr2
Method: DFT, GGA-PBE
State: relaxed

Lattice parameters (Å, degrees): 4.6340 2.9242 4.9129 90.00 111.47 90.00
With the nearest neighbours (Å) after each atom.
Atoms (fractional coordinates):
Sc 0.0000 0.0000 0.0000  6 Ir 2.69-2.74, 4 Zn 2.86, 2 Sc 2.92
Zn 0.0000 0.5000 0.5000  6 Ir 2.69-2.74, 4 Sc 2.86, 2 Zn 2.92
Ir 0.5000 0.0000 0.5000  2 Sc 2.69, 4 Zn 2.74, 6 Ir 2.86-2.92
Ir 0.5000 0.5000 0.0000  2 Zn 2.69, 4 Sc 2.74, 6 Ir 2.86-2.92

Properties
Electronic total energy ... -27.1 eV/f.u.
Magnetic moment ... 0.00 μB/cell
Density of states at the Fermi level ... 2.62 states/eV/f.u.
Formation energy from the elements ... -430.9 meV/atom
Volume ... 15.489 Å³ per atom
Space-group type ... P2/m, No. 10

# 3
Material: ScZnIr2
Method: DFT, GGA-PBE
State: relaxed

Lattice parameters (Å, degrees): 5.6864 5.6864 5.6864 103.50 103.50 122.23
With the nearest neighbours (Å) after each atom.
Atoms (fractional coordinates):
Sc 0.0000 0.0000 0.0000  4 Ir 2.70, 2 Zn 2.75
Sc 0.7500 0.2500 0.5000  4 Ir 2.70, 2 Zn 2.75
Zn 0.2500 0.7500 0.5000  4 Ir 2.47, 2 Sc 2.75
Zn 0.5000 0.5000 0.0000  4 Ir 2.47, 2 Sc 2.75
Ir 0.1487 0.1250 0.5237  2 Zn 2.47, 2 Sc 2.70, 2 Ir 2.77
Ir 0.3750 0.8513 0.9763  2 Zn 2.47, 2 Sc 2.70, 2 Ir 2.77
Ir 0.6013 0.6250 0.4763  2 Zn 2.47, 2 Sc 2.70, 2 Ir 2.77
Ir 0.8750 0.3987 0.0237  2 Zn 2.47, 2 Sc 2.70, 2 Ir 2.77

Properties
Electronic total energy ... -25.5 eV/f.u.
Magnetic moment ... 0.00 μB/cell
Density of states at the Fermi level ... 3.97 states/eV/f.u.
Formation energy from the elements ... -40.4 meV/atom
Volume ... 17.024 Å³ per atom
Space-group type ... I-42d, No. 122

# 4
Material: ScZn3Ir
Method: DFT, GGA-PBE
State: relaxed

Lattice parameters (Å, degrees): 4.7270 4.7270 4.7270 90.00 90.00 90.00
With the nearest neighbours (Å) after each atom.
Atoms (fractional coordinates):
Sc 0.0000 0.0000 0.0000  12 Zn 3.34
Zn 0.0000 0.5000 0.5000  2 Ir 2.36
Zn 0.5000 0.0000 0.5000  2 Ir 2.36
Zn 0.5000 0.5000 0.0000  2 Ir 2.36
Ir 0.5000 0.5000 0.5000  6 Zn 2.36

Properties
Electronic total energy ... -18.4 eV/f.u.
Relative energy among the computed polymorphs ... 0.0 meV/atom
Magnetic moment ... 0.55 μB/cell
Density of states at the Fermi level ... 2.82 states/eV/f.u.
Formation energy from the elements ... 115.8 meV/atom
Volume ... 21.125 Å³ per atom
Space-group type ... Pm-3m, No. 221

Q: Which value of density of states at the Fermi level does entry 3 give?
A: 3.97 states/eV/f.u.